## RbHf2VIr (PBE)

Data for crystalline RbHf2VIr at its relaxed geometry.

Cell lengths 4.8313, 4.8313, 5.0133 Å; angles 90.00, 90.00, 90.00 degrees
Closest atoms and distances in Å follow each position.
Space group P4/mmm (No. 123)
Inequivalent atoms, fractional coordinates:
Rb 0.0000 0.0000 0.0000 (multiplicity 1)  2 V 2.51
Hf 0.0000 0.5000 0.5000 (multiplicity 2)  2 V 2.42
V 0.0000 0.0000 0.5000 (multiplicity 1)  4 Hf 2.42, 2 Rb 2.51
Ir 0.5000 0.5000 0.0000 (multiplicity 1)  4 Rb 3.42, 8 Hf 3.48

Properties
For the volume, the calculation gives 23.40 A^3/atom. As for the electronic total energy: -6.19 eV per atom. The density of states at the Fermi level comes out at 5.1 states/eV per cell. As for the formation enthalpy at 0 K: 1.585 eV per atom.